Record 1
Below is an optimized crystal structure of CaSi2As2, with properties calculated at the PBE-GGA level.

Unit cell a=3.860 b=3.860 c=7.440 alpha=74.97 beta=74.97 gamma=90.00
Positions (direct):
As (0.406, 0.406, 0.188)
As (0.594, 0.594, 0.812)
Si (0.750, 0.250, 0.500)
Si (0.250, 0.750, 0.500)
Ca (0.000, 0.000, 0.000)

Values from the calculation:
Raw total energy in eV per atom: -4.485
Crystal system: tetragonal
Energy relative to the elements, uncorrected in eV/atom: -0.06
Density in Mg/m³: 3.96
SG: No. 139

Record 2
Below is an optimized crystal structure of LaCe2Pu, with properties calculated at the PBE-GGA level.

Unit cell a=5.497 b=5.497 c=5.497 alpha=60.00 beta=60.00 gamma=60.00
Each line ends with the local moment (μB).
Positions (direct):
La (0.000, 0.000, 0.000)  0.11
Ce (0.250, 0.250, 0.250)  0.94
Ce (0.750, 0.750, 0.750)  0.94
Pu (0.500, 0.500, 0.500)  5.69

Values from the calculation:
Raw total energy in eV per atom: -7.563
Crystal system: cubic
Energy of formation from the pure elements in meV/atom: 219
Density in Mg/m³: 9.37
SG: No. 225

Record 3
Below is an optimized crystal structure of FeReP, with properties calculated at the PBE-GGA level.

Unit cell a=4.922 b=4.922 c=4.922 alpha=146.36 beta=146.36 gamma=48.31
Each line ends with the local moment (μB).
Positions (direct):
Fe (0.980, 0.980, 0.000)  0.93
P (0.342, 0.342, 0.000)  0.00
Re (0.678, 0.678, 0.000)  -0.02

Values from the calculation:
Raw total energy in eV per atom: -8.850
Crystal system: tetragonal
Energy of formation from the pure elements in meV/atom: -77
Density in Mg/m³: 12.44
SG: No. 107

Record 4
Below is an optimized crystal structure of Pr2Sm3Y8, with properties calculated at the PBE-GGA level.

Unit cell a=6.809 b=9.130 c=8.752 alpha=121.44 beta=97.51 gamma=90.00
Positions (direct):
Pr (0.271, 0.202, 0.405)
Pr (0.729, 0.798, 0.595)
Sm (0.500, 0.000, 0.000)
Sm (0.000, 0.170, 0.000)
Sm (0.000, 0.830, 0.000)
Y (0.876, 0.585, 0.171)
Y (0.124, 0.415, 0.829)
Y (0.779, 0.208, 0.415)
Y (0.221, 0.792, 0.585)
Y (0.570, 0.568, 0.777)
Y (0.570, 0.210, 0.777)
Y (0.430, 0.790, 0.223)
Y (0.430, 0.432, 0.223)

Values from the calculation:
Raw total energy in eV per atom: -5.545
Crystal system: monoclinic
Energy of formation from the pure elements in meV/atom: 257
Density in Mg/m³: 5.23
SG: No. 12

Record 5
Below is an optimized crystal structure of Pr6Dy3Y2Th, with properties calculated at the PBE-GGA level.

Unit cell a=6.311 b=6.311 c=11.998 alpha=95.04 beta=95.04 gamma=119.97
Positions (direct):
Pr (0.916, 0.587, 0.749)
Pr (0.754, 0.754, 0.250)
Pr (0.084, 0.413, 0.251)
Pr (0.587, 0.916, 0.749)
Pr (0.246, 0.246, 0.750)
Pr (0.413, 0.084, 0.251)
Dy (0.167, 0.833, 0.500)
Dy (0.833, 0.167, 0.500)
Dy (0.500, 0.500, 0.500)
Y (0.333, 0.667, 0.000)
Y (0.667, 0.333, 0.000)
Th (0.000, 0.000, 0.000)

Values from the calculation:
Raw total energy in eV per atom: -5.203
Crystal system: monoclinic
Energy of formation from the pure elements in meV/atom: 33
Density in Mg/m³: 7.10
SG: No. 12

Record 6
Below is an optimized crystal structure of Li3CdBi4, with properties calculated at the PBE-GGA level.

Unit cell a=4.283 b=4.672 c=10.122 alpha=90.00 beta=90.00 gamma=90.00
Positions (direct):
Cd (0.500, 0.500, 0.000)
Bi (0.000, 0.000, 0.500)
Bi (0.000, 0.500, 0.741)
Bi (0.000, 0.000, 0.000)
Bi (0.000, 0.500, 0.259)
Li (0.500, 0.000, 0.255)
Li (0.500, 0.500, 0.500)
Li (0.500, 0.000, 0.745)

Values from the calculation:
Raw total energy in eV per atom: -3.020
Crystal system: orthorhombic
Energy of formation from the pure elements in meV/atom: -248
Density in Mg/m³: 7.95
SG: No. 47

Record 7
Below is an optimized crystal structure of Sc2Se2S, with properties calculated at the PBE-GGA level.

Unit cell a=3.734 b=5.424 c=6.642 alpha=114.10 beta=106.33 gamma=90.00
Positions (direct):
Sc (0.343, 0.843, 0.685)
Sc (0.657, 0.157, 0.315)
Se (0.675, 0.675, 0.351)
Se (0.325, 0.325, 0.649)
S (0.000, 0.000, 0.000)

Values from the calculation:
Raw total energy in eV per atom: -6.499
Crystal system: orthorhombic
Energy relative to the elements, uncorrected in eV/atom: -1.75
Density in Mg/m³: 3.98
SG: No. 71

Record 8
Below is an optimized crystal structure of HfNbPb, with properties calculated at the PBE-GGA level.

Unit cell a=3.668 b=3.668 c=5.419 alpha=109.78 beta=109.78 gamma=90.00
Positions (direct):
Pb (0.620, 0.620, 0.241)
Nb (0.286, 0.286, 0.573)
Hf (0.943, 0.943, 0.887)

Values from the calculation:
Raw total energy in eV per atom: -7.856
Crystal system: tetragonal
Energy of formation from the pure elements in meV/atom: 55
Density in Mg/m³: 12.42
SG: No. 107

Record 9
Below is an optimized crystal structure of InHg2Au4, with properties calculated at the PBE-GGA level.

Unit cell a=3.974 b=5.525 c=8.330 alpha=67.71 beta=90.00 gamma=111.08
Positions (direct):
Au (0.704, 0.409, 0.298)
Au (0.296, 0.591, 0.702)
Au (0.607, 0.214, 0.668)
Au (0.393, 0.786, 0.332)
Hg (0.643, 0.285, 0.992)
Hg (0.357, 0.715, 0.008)
In (0.000, 0.000, 0.500)

Values from the calculation:
Raw total energy in eV per atom: -2.357
Crystal system: monoclinic
Energy of formation from the pure elements in meV/atom: -6
Density in Mg/m³: 13.89
SG: No. 12

Record 10
Below is an optimized crystal structure of BSb3Se, with properties calculated at the PBE-GGA level.

Unit cell a=4.864 b=4.864 c=4.864 alpha=90.00 beta=90.00 gamma=90.00
Positions (direct):
Sb (0.000, 0.500, 0.000)
Sb (0.000, 0.000, 0.500)
Sb (0.500, 0.000, 0.000)
B (0.000, 0.000, 0.000)
Se (0.500, 0.500, 0.500)

Values from the calculation:
Raw total energy in eV per atom: -3.756
Crystal system: cubic
Energy relative to the elements, uncorrected in eV/atom: 0.75
Density in Mg/m³: 6.57
SG: No. 221

Record 11
Below is an optimized crystal structure of GdYMn2, with properties calculated at the PBE-GGA level.

Unit cell a=5.024 b=5.024 c=5.024 alpha=60.00 beta=60.00 gamma=60.00
Each line ends with the local moment (μB).
Positions (direct):
Y (0.500, 0.500, 0.500)  -0.27
Gd (0.000, 0.000, 0.000)  6.80
Mn (0.250, 0.250, 0.250)  3.46
Mn (0.750, 0.750, 0.750)  3.46

Values from the calculation:
Raw total energy in eV per atom: -9.486
Crystal system: cubic
Energy of formation from the pure elements in meV/atom: 235
Density in Mg/m³: 6.59
SG: No. 225

Record 12
Below is an optimized crystal structure of LiB2Os2, with properties calculated at the PBE-GGA level.

Unit cell a=3.874 b=3.874 c=5.026 alpha=67.33 beta=67.33 gamma=90.00
Positions (direct):
B (0.750, 0.250, 0.500)
B (0.250, 0.750, 0.500)
Os (0.358, 0.358, 0.284)
Os (0.642, 0.642, 0.716)
Li (0.000, 0.000, 0.000)

Values from the calculation:
Raw total energy in eV per atom: -7.276
Crystal system: tetragonal
Energy of formation from the pure elements in meV/atom: 270
Density in Mg/m³: 10.74
SG: No. 139

Record 13
Below is an optimized crystal structure of CuPb2, with properties calculated at the PBE-GGA level.

Unit cell a=13.911 b=13.911 c=13.911 alpha=166.10 beta=166.10 gamma=19.71
Positions (direct):
Cu (0.000, 0.000, 0.000)
Cu (0.750, 0.250, 0.500)
Pb (0.565, 0.565, 0.000)
Pb (0.185, 0.685, 0.500)
Pb (0.435, 0.435, 0.000)
Pb (0.315, 0.815, 0.500)

Values from the calculation:
Raw total energy in eV per atom: -3.656
Crystal system: tetragonal
Energy of formation from the pure elements in meV/atom: 182
Density in Mg/m³: 10.22
SG: No. 141

Record 14
Below is an optimized crystal structure of Mg2AlSb, with properties calculated at the PBE-GGA level.

Unit cell a=5.427 b=5.427 c=3.186 alpha=90.00 beta=90.00 gamma=109.42
Positions (direct):
Sb (0.500, 0.000, 0.500)
Mg (0.000, 0.000, 0.000)
Mg (0.500, 0.500, 0.000)
Al (0.000, 0.500, 0.500)

Values from the calculation:
Raw total energy in eV per atom: -2.799
Crystal system: orthorhombic
Energy relative to the elements, uncorrected in eV/atom: -0.04
Density in Mg/m³: 3.70
SG: No. 65

Record 15
Below is an optimized crystal structure of Nd4C2Br, with properties calculated at the PBE-GGA level.

Unit cell a=3.754 b=3.754 c=14.355 alpha=82.49 beta=82.49 gamma=60.00
Positions (direct):
Nd (0.122, 0.122, 0.634)
Nd (0.277, 0.277, 0.169)
Nd (0.723, 0.723, 0.831)
Nd (0.878, 0.878, 0.366)
C (0.421, 0.421, 0.736)
C (0.579, 0.579, 0.264)
Br (0.000, 0.000, 0.000)

Values from the calculation:
Raw total energy in eV per atom: -6.137
Crystal system: trigonal
Energy relative to the elements, uncorrected in eV/atom: -0.54
Density in Mg/m³: 6.53
SG: No. 166

Record 16
Below is an optimized crystal structure of KCaHg, with properties calculated at the PBE-GGA level.

Unit cell a=7.824 b=7.823 c=4.005 alpha=75.18 beta=75.16 gamma=29.66
Positions (direct):
Ca (0.957, 0.957, 0.043)
Hg (0.355, 0.355, 0.645)
K (0.689, 0.689, 0.311)

Values from the calculation:
Raw total energy in eV per atom: -1.336
Crystal system: tetragonal
Energy of formation from the pure elements in meV/atom: -202
Density in Mg/m³: 3.97
SG: No. 107

Record 17
Below is an optimized crystal structure of CoNi4Ru, with properties calculated at the PBE-GGA level.

Unit cell a=6.715 b=4.386 c=6.211 alpha=118.58 beta=107.96 gamma=102.30
Each line ends with the local moment (μB).
Positions (direct):
Co (0.750, 0.750, 0.000)  1.75
Co (0.250, 0.250, 0.000)  1.75
Ni (0.835, 0.171, 0.838)  0.61
Ni (0.665, 0.329, 0.162)  0.61
Ni (0.165, 0.829, 0.162)  0.61
Ni (0.335, 0.671, 0.838)  0.61
Ni (0.918, 0.587, 0.670)  0.53
Ni (0.582, 0.913, 0.330)  0.53
Ni (0.082, 0.413, 0.330)  0.53
Ni (0.418, 0.087, 0.670)  0.53
Ru (0.000, 0.000, 0.500)  0.88
Ru (0.500, 0.500, 0.500)  0.88

Values from the calculation:
Raw total energy in eV per atom: -6.516
Crystal system: monoclinic
Energy of formation from the pure elements in meV/atom: 68
Density in Mg/m³: 9.51
SG: No. 12

Record 18
Below is an optimized crystal structure of ZnSbAs2Se, with properties calculated at the PBE-GGA level.

Unit cell a=5.345 b=5.345 c=5.300 alpha=90.00 beta=90.00 gamma=90.00
Each line ends with the local moment (μB).
Positions (direct):
Sb (0.000, 0.000, 0.000)  0.00
As (0.000, 0.500, 0.000)  0.23
As (0.500, 0.000, 0.000)  0.23
Zn (0.500, 0.500, 0.500)  0.01
Se (0.000, 0.000, 0.500)  0.08

Values from the calculation:
Raw total energy in eV per atom: -2.777
Crystal system: tetragonal
Energy relative to the elements, uncorrected in eV/atom: 0.86
Density in Mg/m³: 4.56
SG: No. 123

Record 19
Below is an optimized crystal structure of AlGa2Te, with properties calculated at the PBE-GGA level.

Unit cell a=5.027 b=5.027 c=5.027 alpha=60.00 beta=60.00 gamma=60.00
Positions (direct):
Te (0.500, 0.500, 0.500)
Al (0.000, 0.000, 0.000)
Ga (0.250, 0.250, 0.250)
Ga (0.750, 0.750, 0.750)

Values from the calculation:
Raw total energy in eV per atom: -3.032
Crystal system: cubic
Energy relative to the elements, uncorrected in eV/atom: 0.20
Density in Mg/m³: 5.44
SG: No. 225

Record 20
Below is an optimized crystal structure of ErTmPd4, with properties calculated at the PBE-GGA level.

Unit cell a=3.936 b=3.938 c=8.297 alpha=90.00 beta=90.00 gamma=90.00
Positions (direct):
Er (0.501, 0.497, 0.998)
Tm (0.001, 0.997, 0.498)
Pd (0.501, 0.997, 0.249)
Pd (0.501, 0.997, 0.747)
Pd (0.001, 0.497, 0.747)
Pd (0.001, 0.497, 0.249)

Values from the calculation:
Raw total energy in eV per atom: -5.605
Crystal system: tetragonal
Energy of formation from the pure elements in meV/atom: -638
Density in Mg/m³: 9.84
SG: No. 123

Record 21
Below is an optimized crystal structure of BeNbP2Cl, with properties calculated at the PBE-GGA level.

Unit cell a=4.245 b=4.245 c=4.408 alpha=90.00 beta=90.00 gamma=90.00
Positions (direct):
P (0.000, 0.500, 0.000)
P (0.500, 0.000, 0.000)
Nb (0.500, 0.500, 0.500)
Be (0.000, 0.000, 0.000)
Cl (0.000, 0.000, 0.500)

Values from the calculation:
Raw total energy in eV per atom: -4.764
Crystal system: tetragonal
Energy relative to the elements, uncorrected in eV/atom: 0.53
Density in Mg/m³: 4.17
SG: No. 123

Record 22
Below is an optimized crystal structure of K4MnRh, with properties calculated at the PBE-GGA level.

Unit cell a=6.739 b=6.739 c=6.739 alpha=60.00 beta=60.00 gamma=60.00
Each line ends with the local moment (μB).
Positions (direct):
K (0.879, 0.374, 0.374)  0.00
K (0.374, 0.374, 0.879)  0.00
K (0.374, 0.879, 0.374)  0.00
K (0.374, 0.374, 0.374)  0.00
Mn (0.750, 0.750, 0.750)  4.37
Rh (0.000, 0.000, 0.000)  0.67

Values from the calculation:
Raw total energy in eV per atom: -2.401
Crystal system: cubic
Energy of formation from the pure elements in meV/atom: 1085
Density in Mg/m³: 2.41
SG: No. 216

Record 23
Below is an optimized crystal structure of Nb2RhS, with properties calculated at the PBE-GGA level.

Unit cell a=6.832 b=6.832 c=5.627 alpha=52.62 beta=52.62 gamma=90.00
Positions (direct):
Nb (0.598, 0.125, 0.250)
Nb (0.152, 0.625, 0.250)
Nb (0.375, 0.402, 0.750)
Nb (0.875, 0.848, 0.750)
Rh (0.000, 0.000, 0.000)
Rh (0.750, 0.250, 0.500)
S (0.500, 0.500, 0.000)
S (0.250, 0.750, 0.500)

Values from the calculation:
Raw total energy in eV per atom: -8.104
Crystal system: tetragonal
Energy relative to the elements, uncorrected in eV/atom: -0.20
Density in Mg/m³: 7.91
SG: No. 122

Record 24
Below is an optimized crystal structure of CaHfBeMo2, with properties calculated at the PBE-GGA level.

Unit cell a=4.540 b=4.940 c=4.540 alpha=90.00 beta=90.00 gamma=90.00
Positions (direct):
Be (0.500, 0.500, 0.500)
Mo (0.000, 0.000, 0.500)
Mo (0.500, 0.000, 0.000)
Hf (0.000, 0.500, 0.000)
Ca (0.000, 0.000, 0.000)

Values from the calculation:
Raw total energy in eV per atom: -4.900
Crystal system: tetragonal
Energy of formation from the pure elements in meV/atom: 2569
Density in Mg/m³: 6.84
SG: No. 123

Record 25
Below is an optimized crystal structure of CaNd4Rh, with properties calculated at the PBE-GGA level.

Unit cell a=6.270 b=7.598 c=9.772 alpha=112.88 beta=108.73 gamma=90.00
Positions (direct):
Ca (0.800, 0.801, 0.601)
Ca (0.200, 0.199, 0.399)
Nd (0.171, 0.671, 0.342)
Nd (0.389, 0.138, 0.779)
Nd (0.000, 0.217, 0.000)
Nd (0.611, 0.359, 0.221)
Nd (0.829, 0.329, 0.658)
Nd (0.611, 0.862, 0.221)
Nd (0.000, 0.783, 0.000)
Nd (0.389, 0.641, 0.779)
Rh (0.275, 0.500, 0.000)
Rh (0.725, 0.500, 0.000)

Values from the calculation:
Raw total energy in eV per atom: -4.899
Crystal system: orthorhombic
Energy of formation from the pure elements in meV/atom: -161
Density in Mg/m³: 5.95
SG: No. 71

Record 26
Below is an optimized crystal structure of TlRe2Cl, with properties calculated at the PBE-GGA level.

Unit cell a=7.132 b=7.132 c=2.629 alpha=90.00 beta=90.00 gamma=137.30
Each line ends with the local moment (μB).
Positions (direct):
Cl (0.000, 0.500, 0.500)  0.05
Re (0.000, 0.000, 0.000)  0.56
Re (0.500, 0.500, 0.000)  0.56
Tl (0.500, 0.000, 0.500)  0.01

Values from the calculation:
Raw total energy in eV per atom: -5.737
Crystal system: orthorhombic
Energy relative to the elements, uncorrected in eV/atom: 1.54
Density in Mg/m³: 11.21
SG: No. 65

Record 27
Below is an optimized crystal structure of KTaHg2, with properties calculated at the PBE-GGA level.

Unit cell a=3.144 b=3.144 c=9.597 alpha=90.00 beta=90.00 gamma=89.99
Positions (direct):
Hg (0.000, 0.000, 0.959)
Hg (0.000, 0.000, 0.541)
K (0.500, 0.500, 0.250)
Ta (0.500, 0.500, 0.750)

Values from the calculation:
Raw total energy in eV per atom: -3.009
Crystal system: tetragonal
Energy of formation from the pure elements in meV/atom: 379
Density in Mg/m³: 10.87
SG: No. 123